The following is a PBE-GGA calculation of a relaxed Li7RuN4 crystal, from Alexandria via LeMat-Bulk.

The structure in POSCAR format:
```
Li7RuN4
1.0
-9.0491 -3.3522 1.4683
3.0113 -9.0458 -2.0938
2.0797 -1.4881 9.4201
Li Ru N
56 8 32
direct
0.0000 0.0000 0.5000
0.0000 0.5000 0.0000
0.5000 0.0000 0.0000
0.5000 0.0000 0.5000
0.5000 0.5000 0.0000
0.0000 0.5000 0.5000
0.0000 0.5000 0.2500
0.5000 0.7500 0.0000
0.2500 0.0000 0.5000
0.5000 0.2500 0.0000
0.7500 0.0000 0.5000
0.0000 0.5000 0.7500
0.2655 0.7345 0.2655
0.7345 0.2655 0.2655
0.2655 0.2655 0.7345
0.7345 0.7345 0.7345
0.7655 0.7655 0.2345
0.2345 0.7655 0.7655
0.7655 0.2345 0.7655
0.2345 0.2345 0.2345
0.5000 0.5000 0.2365
0.5000 0.7635 0.5000
0.2365 0.5000 0.5000
0.5000 0.2365 0.5000
0.7635 0.5000 0.5000
0.5000 0.5000 0.7635
0.0000 0.7365 0.0000
0.0000 0.0000 0.2635
0.7365 0.0000 0.0000
0.0000 0.0000 0.7365
0.2635 0.0000 0.0000
0.0000 0.2635 0.0000
0.5167 0.7377 0.2483
0.2623 0.7517 0.5167
0.2483 0.4833 0.2623
0.4833 0.2623 0.2483
0.7377 0.2483 0.5167
0.7517 0.5167 0.2623
0.5167 0.2623 0.7517
0.2623 0.2483 0.4833
0.2483 0.5167 0.7377
0.4833 0.7377 0.7517
0.7377 0.7517 0.4833
0.7517 0.4833 0.7377
0.0167 0.7483 0.2377
0.7623 0.0167 0.2517
0.7483 0.7623 0.9833
0.9833 0.7483 0.7623
0.2377 0.0167 0.7483
0.2517 0.7623 0.0167
0.0167 0.2517 0.7623
0.7623 0.9833 0.7483
0.7483 0.2377 0.0167
0.9833 0.2517 0.2377
0.2377 0.9833 0.2517
0.2517 0.2377 0.9833
0.5000 0.5000 0.5000
0.0000 0.0000 0.0000
0.5000 0.0000 0.2500
0.0000 0.7500 0.5000
0.2500 0.5000 0.0000
0.0000 0.2500 0.5000
0.7500 0.5000 0.0000
0.5000 0.0000 0.7500
0.3857 0.6143 0.3857
0.6143 0.3857 0.3857
0.3857 0.3857 0.6143
0.6143 0.6143 0.6143
0.8857 0.8857 0.1143
0.1143 0.8857 0.8857
0.8857 0.1143 0.8857
0.1143 0.1143 0.1143
0.3866 0.8783 0.1387
0.1217 0.8613 0.3866
0.1387 0.6134 0.1217
0.6134 0.1217 0.1387
0.8783 0.1387 0.3866
0.8613 0.3866 0.1217
0.3866 0.1217 0.8613
0.1217 0.1387 0.6134
0.1387 0.3866 0.8783
0.6134 0.8783 0.8613
0.8783 0.8613 0.6134
0.8613 0.6134 0.8783
0.8866 0.6387 0.3783
0.6217 0.8866 0.3613
0.6387 0.6217 0.1134
0.1134 0.6387 0.6217
0.3783 0.8866 0.6387
0.3613 0.6217 0.8866
0.8866 0.3613 0.6217
0.6217 0.1134 0.6387
0.6387 0.3783 0.8866
0.1134 0.3613 0.3783
0.3783 0.1134 0.3613
0.3613 0.3783 0.1134
```

Values from the calculation:
E_form (uncorrected) in meV per atom: -341.9
Total moment in μB per cell: 8.35
Raw total energy in eV/atom: -5.01

The following is a PBE-GGA calculation of a relaxed Rb3TmU2Se6 crystal, from Alexandria via LeMat-Bulk.

The structure in POSCAR format:
```
Rb3TmU2Se6
1.0
7.3341 -0.0011 0.0001
-3.6662 6.3520 0.0001
-1.2231 -2.1177 8.0398
Rb Tm U Se
3 1 2 6
direct
0.1674 0.8326 0.5000
0.8326 0.1674 0.5000
0.5000 0.5000 0.5000
0.0000 0.0000 0.0000
0.3334 0.6666 0.0000
0.6666 0.3334 0.0000
0.9344 0.6061 0.8033
0.7374 0.7374 0.1969
0.0656 0.3939 0.1967
0.6061 0.9344 0.8033
0.2626 0.2626 0.8031
0.3939 0.0656 0.1967
```

Values from the calculation:
E_form (uncorrected) in meV per atom: -1364.9
Total moment in μB per cell: 6.01
Raw total energy in eV/atom: -5.60

The following is a PBE-GGA calculation of a relaxed Ac2ScSi3Rh4 crystal, from Alexandria via LeMat-Bulk.

The structure in POSCAR format:
```
Ac2ScSi3Rh4
1.0
-3.9019 1.4460 -0.6930
-0.1374 -2.1180 -3.6456
-4.1096 -8.6161 5.1606
Ac Sc Si Rh
2 1 3 4
direct
0.5000 0.0000 0.2424
0.0000 0.5000 0.7576
0.5000 0.5000 0.5000
0.0000 0.0000 0.5000
0.5000 0.0000 0.8834
0.0000 0.5000 0.1166
0.5000 0.5000 0.0000
0.0000 0.0000 0.0000
0.5000 0.0000 0.6467
0.0000 0.5000 0.3533
```

Values from the calculation:
E_form (uncorrected) in meV per atom: -962.3
Total moment in μB per cell: 0.00
Raw total energy in eV/atom: -6.98

The following is a PBE-GGA calculation of a relaxed Nd2Ni3Sn5 crystal, from Alexandria via LeMat-Bulk.

The structure in POSCAR format:
```
Nd2Ni3Sn5
1.0
6.4251 0.0000 0.0000
3.2126 8.2510 0.1343
3.2126 1.4054 8.1315
Nd Ni Sn
4 6 10
direct
0.1436 0.5910 0.1218
0.6436 0.1218 0.5910
0.8564 0.4090 0.8782
0.3564 0.8782 0.4090
0.3630 0.5324 0.7417
0.8630 0.7417 0.5324
0.6370 0.4676 0.2583
0.1370 0.2583 0.4676
0.2500 0.0000 0.0000
0.7500 0.0000 0.0000
0.4115 0.2546 0.9224
0.9115 0.9224 0.2546
0.5885 0.7454 0.0776
0.0885 0.0776 0.7454
0.4813 0.7687 0.7687
0.5187 0.2313 0.2313
0.7500 0.5000 0.5000
0.2500 0.5000 0.5000
0.0187 0.2313 0.2313
0.9813 0.7687 0.7687
```

Values from the calculation:
Total moment in μB per cell: 0.00
Raw total energy in eV/atom: -5.20
ΔE to the lowest computed polymorph in kJ/mol of formula units: 0